[1]
Si2NiRh: optimized geometry, GGA-PBE.

abc: 4.3476 2.8520 4.0864
angles: 90.00 90.00 90.00
Last column: nearest neighbours and their distance in Å.
Element x y z (fractional)
Ni 0.0000 0.3750 0.4857  6 Si 2.37-2.61
Rh 0.5000 0.8749 0.7502  6 Si 2.44-2.52
Si 0.0000 0.8752 0.0213  4 Ni 2.37-2.61, 2 Rh 2.44
Si 0.5000 0.3749 0.2428  2 Ni 2.39, 4 Rh 2.47-2.52

## Properties
The calculation puts the total magnetic moment at 0.00 Bohr magnetons per cell. The raw total energy is -6.52 eV per atom. The formation energy from raw total energies comes out at -521 meV per atom. As for the space group: No. 25.



[2]
TlCoSn2: optimized geometry, GGA-PBE.

abc: 3.4686 3.4686 9.4123
angles: 79.38 79.38 60.00
Last column: nearest neighbours and their distance in Å.
Element x y z (fractional)
Tl 0.0000 0.0000 0.0000  2 Sn 2.99
Co 0.5000 0.5000 0.5000  6 Sn 2.57
Sn 0.1083 0.1083 0.6750  3 Co 2.57
Sn 0.8917 0.8917 0.3250  3 Co 2.57

## Properties
The formation energy from the elements comes out at 54 kJ/mol of formula units. The calculation puts the total magnetic moment at 0.00 Bohr magnetons per cell. The calculation puts the relative energy among the computed polymorphs at 0 meV/atom. The raw total energy is -4.23 eV per atom. As for the space group: No. 166.